The following is a DFT calculation (PBE) of a relaxed ScAlFeAu crystal.

Output
The value obtained for the distance to the lowest polymorph of the same formula is 0.000 eV per formula unit.

Geometry as CIF:
```
data_ScAlFeAu
_space_group_name_H-M_alt 'F -4 3 m'
_space_group_IT_number 216
_space_group_name_Hall 'F -4 2 3'
_cell_length_a 6.3201
_cell_length_b 6.3201
_cell_length_c 6.3201
_cell_angle_alpha 90.00
_cell_angle_beta 90.00
_cell_angle_gamma 90.00
loop_
_atom_site_label
_atom_site_fract_x
_atom_site_fract_y
_atom_site_fract_z
Sc1 0.0000 0.0000 0.0000
Al1 0.0000 0.0000 0.5000
Fe1 0.2500 0.2500 0.7500
Au1 0.2500 0.2500 0.2500
```